[1]
Compound: Be2CrH6
Source: Alexandria via LeMat-Bulk
Functional: GGA-PBE
Structure: optimized geometry Values from VASP.

Quantum ESPRESSO input file:
```
&SYSTEM
  ibrav = 0, nat = 9, ntyp = 3
/
ATOMIC_SPECIES
H 1.01 H.upf
Be 9.01 Be.upf
Cr 52.00 Cr.upf
ATOMIC_POSITIONS crystal
H 0.7285 0.2715 0.2715
H 0.7285 0.7285 0.2715
H 0.2715 0.7285 0.2715
H 0.7285 0.2715 0.7285
H 0.2715 0.2715 0.7285
H 0.2715 0.7285 0.7285
Be 0.7500 0.7500 0.7500
Be 0.2500 0.2500 0.2500
Cr 0.0000 0.0000 0.0000
CELL_PARAMETERS angstrom
3.6406 0.0000 2.1019
1.2135 3.4324 2.1019
0.0000 0.0000 4.2038
```

Output
uncorrected energy	-34.06	eV per formula unit
total magnetization	2.000	Bohr magnetons per cell

***

[2]
Compound: BeCrH3
Source: Alexandria via LeMat-Bulk
Functional: GGA-PBE
Structure: optimized geometry Values from VASP.

Quantum ESPRESSO input file:
```
&SYSTEM
  ibrav = 0, nat = 5, ntyp = 3
/
ATOMIC_SPECIES
Be 9.01 Be.upf
H 1.01 H.upf
Cr 52.00 Cr.upf
ATOMIC_POSITIONS crystal
Be 0.5000 0.5000 0.5000
H 0.0000 0.5000 0.0000
H 0.5000 0.0000 0.0000
H 0.0000 0.0000 0.5000
Cr 0.0000 0.0000 0.0000
CELL_PARAMETERS angstrom
3.1898 0.0000 0.0000
0.0000 3.1898 0.0000
0.0000 0.0000 3.1898
```

Output
energy above the lowest structure with this stoichiometry	0.0	meV per atom
uncorrected energy	-21.45	eV per formula unit
total magnetization	1.000	Bohr magnetons per cell

***

[3]
Compound: BeCr2H
Source: Alexandria via LeMat-Bulk
Functional: GGA-PBE
Structure: optimized geometry Values from VASP.

Quantum ESPRESSO input file:
```
&SYSTEM
  ibrav = 0, nat = 8, ntyp = 3
/
ATOMIC_SPECIES
Be 9.01 Be.upf
Cr 52.00 Cr.upf
H 1.01 H.upf
ATOMIC_POSITIONS crystal
Be 0.7500 0.2500 0.5000
Be 0.0000 0.0000 0.0000
Cr 0.8750 0.7985 0.7500
Cr 0.2015 0.6250 0.2500
Cr 0.3750 0.4515 0.7500
Cr 0.5485 0.1250 0.2500
H 0.5000 0.5000 0.0000
H 0.2500 0.7500 0.5000
CELL_PARAMETERS angstrom
5.2445 0.0000 0.0000
0.0000 5.2445 0.0000
2.6222 2.6222 2.5355
```

Output
energy above the lowest structure with this stoichiometry	0.0	meV per atom
uncorrected energy	-25.15	eV per formula unit
total magnetization	1.287	Bohr magnetons per cell

***

[4]
Compound: Be2CrHgH
Source: Alexandria via LeMat-Bulk
Functional: GGA-PBE
Structure: optimized geometry Values from VASP.

Quantum ESPRESSO input file:
```
&SYSTEM
  ibrav = 0, nat = 5, ntyp = 4
/
ATOMIC_SPECIES
Hg 200.59 Hg.upf
Be 9.01 Be.upf
H 1.01 H.upf
Cr 52.00 Cr.upf
ATOMIC_POSITIONS crystal
Hg 0.5000 0.5000 0.5000
Be 0.0000 0.5000 0.0000
Be 0.5000 0.0000 0.0000
H 0.0000 0.0000 0.0000
Cr 0.0000 0.0000 0.5000
CELL_PARAMETERS angstrom
3.8618 0.0000 0.0000
0.0000 3.8618 0.0000
0.0000 0.0000 3.5060
```

Output
uncorrected energy	-19.17	eV per formula unit
total magnetization	1.696	Bohr magnetons per cell

***

[5]
Compound: Be2CrHIr
Source: Alexandria via LeMat-Bulk
Functional: GGA-PBE
Structure: optimized geometry Values from VASP.

Quantum ESPRESSO input file:
```
&SYSTEM
  ibrav = 0, nat = 5, ntyp = 4
/
ATOMIC_SPECIES
Cr 52.00 Cr.upf
Be 9.01 Be.upf
H 1.01 H.upf
Ir 192.22 Ir.upf
ATOMIC_POSITIONS crystal
Cr 0.0000 0.0000 0.5000
Be 0.5000 0.0000 0.0000
Be 0.0000 0.5000 0.0000
H 0.0000 0.0000 0.0000
Ir 0.5000 0.5000 0.5000
CELL_PARAMETERS angstrom
-0.6028 -3.7669 0.3599
3.7651 -0.6335 -0.3240
0.3116 0.2495 3.1335
```

Output
uncorrected energy	-29.56	eV per formula unit
total magnetization	2.579	Bohr magnetons per cell

***

[6]
Compound: Mn2BeCrH
Source: Alexandria via LeMat-Bulk
Functional: GGA-PBE
Structure: optimized geometry Values from VASP.

Quantum ESPRESSO input file:
```
&SYSTEM
  ibrav = 0, nat = 5, ntyp = 4
/
ATOMIC_SPECIES
Cr 52.00 Cr.upf
Be 9.01 Be.upf
Mn 54.94 Mn.upf
H 1.01 H.upf
ATOMIC_POSITIONS crystal
Cr 0.0000 0.0000 0.5000
Be 0.5000 0.5000 0.5000
Mn 0.0000 0.5000 0.0000
Mn 0.5000 0.0000 0.0000
H 0.0000 0.0000 0.0000
CELL_PARAMETERS angstrom
-0.6401 0.7905 3.4959
-3.4847 -0.9679 -0.4192
0.8095 -3.3020 0.8949
```

Output
uncorrected energy	-34.90	eV per formula unit
total magnetization	1.865	Bohr magnetons per cell

***

[7]
Compound: BeCrNi2H
Source: Alexandria via LeMat-Bulk
Functional: GGA-PBE
Structure: optimized geometry Values from VASP.

Quantum ESPRESSO input file:
```
&SYSTEM
  ibrav = 0, nat = 5, ntyp = 4
/
ATOMIC_SPECIES
H 1.01 H.upf
Be 9.01 Be.upf
Cr 52.00 Cr.upf
Ni 58.69 Ni.upf
ATOMIC_POSITIONS crystal
H 0.0000 0.0000 0.0000
Be 0.5000 0.5000 0.5000
Cr 0.0000 0.0000 0.5000
Ni 0.5000 0.0000 0.0000
Ni 0.0000 0.5000 0.0000
CELL_PARAMETERS angstrom
-3.4150 -1.0573 -0.0919
0.3300 -1.3522 3.2941
-1.0200 3.1722 1.4044
```

Output
uncorrected energy	-28.33	eV per formula unit
total magnetization	3.645	Bohr magnetons per cell

***

[8]
Compound: BeCrHOs2
Source: Alexandria via LeMat-Bulk
Functional: GGA-PBE
Structure: optimized geometry Values from VASP.

Quantum ESPRESSO input file:
```
&SYSTEM
  ibrav = 0, nat = 5, ntyp = 4
/
ATOMIC_SPECIES
Cr 52.00 Cr.upf
H 1.01 H.upf
Be 9.01 Be.upf
Os 190.23 Os.upf
ATOMIC_POSITIONS crystal
Cr 0.0000 0.5000 0.0000
H 0.0000 0.0000 0.0000
Be 0.5000 0.5000 0.5000
Os 0.5000 0.0000 0.0000
Os 0.0000 0.0000 0.5000
CELL_PARAMETERS angstrom
3.8661 0.0000 0.0000
0.0000 3.5903 0.0000
0.0000 0.0000 3.8661
```

Output
uncorrected energy	-37.76	eV per formula unit
total magnetization	1.445	Bohr magnetons per cell

***

[9]
Compound: BeCr2HOs
Source: Alexandria via LeMat-Bulk
Functional: GGA-PBE
Structure: optimized geometry Values from VASP.

Quantum ESPRESSO input file:
```
&SYSTEM
  ibrav = 0, nat = 5, ntyp = 4
/
ATOMIC_SPECIES
Cr 52.00 Cr.upf
Os 190.23 Os.upf
H 1.01 H.upf
Be 9.01 Be.upf
ATOMIC_POSITIONS crystal
Cr 0.5000 0.0000 0.0000
Cr 0.0000 0.5000 0.0000
Os 0.5000 0.5000 0.5000
H 0.0000 0.0000 0.0000
Be 0.0000 0.0000 0.5000
CELL_PARAMETERS angstrom
3.6112 0.0000 0.0000
0.0000 3.6112 0.0000
0.0000 0.0000 3.7572
```

Output
uncorrected energy	-36.73	eV per formula unit
total magnetization	1.761	Bohr magnetons per cell

***

[10]
Compound: BeCr2HPb
Source: Alexandria via LeMat-Bulk
Functional: GGA-PBE
Structure: optimized geometry Values from VASP.

Quantum ESPRESSO input file:
```
&SYSTEM
  ibrav = 0, nat = 5, ntyp = 4
/
ATOMIC_SPECIES
Cr 52.00 Cr.upf
Pb 207.20 Pb.upf
Be 9.01 Be.upf
H 1.01 H.upf
ATOMIC_POSITIONS crystal
Cr 0.5000 0.0000 0.0000
Cr 0.0000 0.0000 0.5000
Pb 0.0000 0.0000 0.0000
Be 0.0000 0.5000 0.0000
H 0.5000 0.5000 0.5000
CELL_PARAMETERS angstrom
-1.4841 4.7161 2.2593
-2.1065 -2.2353 3.2824
4.5670 0.0250 2.9479
```

Output
energy above the lowest structure with this stoichiometry	1187.5	meV per atom
uncorrected energy	-21.65	eV per formula unit
total magnetization	9.000	Bohr magnetons per cell

***

[11]
Compound: BeCr2HPb
Source: Alexandria via LeMat-Bulk
Functional: GGA-PBE
Structure: optimized geometry Values from VASP.

Quantum ESPRESSO input file:
```
&SYSTEM
  ibrav = 0, nat = 5, ntyp = 4
/
ATOMIC_SPECIES
Pb 207.20 Pb.upf
Be 9.01 Be.upf
Cr 52.00 Cr.upf
H 1.01 H.upf
ATOMIC_POSITIONS crystal
Pb 0.5000 0.5000 0.5000
Be 0.0000 0.5000 0.0000
Cr 0.5000 0.0000 0.0000
Cr 0.0000 0.0000 0.5000
H 0.0000 0.0000 0.0000
CELL_PARAMETERS angstrom
3.9613 0.0000 0.0000
0.0000 3.9082 0.0000
0.0000 0.0000 3.9613
```

Output
energy above the lowest structure with this stoichiometry	0.0	meV per atom
uncorrected energy	-27.59	eV per formula unit
total magnetization	4.850	Bohr magnetons per cell

***

[12]
Compound: Be2CrHPt
Source: Alexandria via LeMat-Bulk
Functional: GGA-PBE
Structure: optimized geometry Values from VASP.

Quantum ESPRESSO input file:
```
&SYSTEM
  ibrav = 0, nat = 5, ntyp = 4
/
ATOMIC_SPECIES
H 1.01 H.upf
Pt 195.08 Pt.upf
Cr 52.00 Cr.upf
Be 9.01 Be.upf
ATOMIC_POSITIONS crystal
H 0.0000 0.0000 0.0000
Pt 0.5000 0.5000 0.5000
Cr 0.0000 0.0000 0.5000
Be 0.0000 0.5000 0.0000
Be 0.5000 0.0000 0.0000
CELL_PARAMETERS angstrom
-2.2681 -2.8996 1.0086
1.8580 -0.2982 3.3209
-2.0926 2.1100 1.3603
```

Output
uncorrected energy	-27.28	eV per formula unit
total magnetization	2.385	Bohr magnetons per cell

***

[13]
Compound: RbBeCr2H
Source: Alexandria via LeMat-Bulk
Functional: GGA-PBE
Structure: optimized geometry Values from VASP.

Quantum ESPRESSO input file:
```
&SYSTEM
  ibrav = 0, nat = 5, ntyp = 4
/
ATOMIC_SPECIES
Cr 52.00 Cr.upf
H 1.01 H.upf
Rb 85.47 Rb.upf
Be 9.01 Be.upf
ATOMIC_POSITIONS crystal
Cr 0.0000 0.0000 0.5000
Cr 0.5000 0.0000 0.0000
H 0.0000 0.5000 0.0000
Rb 0.5000 0.5000 0.5000
Be 0.0000 0.0000 0.0000
CELL_PARAMETERS angstrom
4.5891 0.0000 0.0000
0.0000 5.7207 0.0000
0.0000 0.0000 4.5891
```

Output
uncorrected energy	-20.99	eV per formula unit
total magnetization	9.656	Bohr magnetons per cell